No. 1
KErPt | PBE | optimized geometry

Cell: 4.967 4.967 4.967 Å, 60.00 60.00 60.00°
Fractional positions:
Pt 0.000 0.000 0.000
Er 0.250 0.250 0.250
K 0.750 0.750 0.750

Relative energy among the computed polymorphs (meV per atom): 0.0
Density (g/cm3): 7.69

---

No. 2
KErRe | PBE | optimized geometry

Cell: 4.996 4.996 4.996 Å, 60.00 60.00 60.00°
Fractional positions:
Er 0.000 0.000 0.000
K 0.250 0.250 0.250
Re 0.750 0.750 0.750

Relative energy among the computed polymorphs (meV per atom): 0.0
Density (g/cm3): 7.39

---

No. 3
KErSeS | PBE | optimized geometry

Cell: 7.879 7.879 7.879 Å, 30.13 30.13 30.13°
Fractional positions:
Er 0.997 0.997 0.997
S 0.267 0.267 0.267
K 0.501 0.501 0.501
Se 0.735 0.735 0.735

Density (g/cm3): 4.83
E_tot (eV/cell): -20.545

---

No. 4
KErTeS | PBE | optimized geometry

Cell: 8.213 8.213 8.213 Å, 29.75 29.75 29.75°
Fractional positions:
S 0.267 0.267 0.267
Er 0.991 0.991 0.991
Te 0.736 0.736 0.736
K 0.507 0.507 0.507

Density (g/cm3): 5.03
E_tot (eV/cell): -19.326

---

No. 5
KErZnS3 | PBE | optimized geometry

Cell: 8.865 8.865 8.397 Å, 102.25 102.25 26.03°
Fractional positions:
S 0.000 0.000 0.000
S 0.328 0.328 0.140
S 0.672 0.672 0.860
S 0.339 0.339 0.715
S 0.661 0.661 0.285
S 0.500 0.500 0.500
Er 0.168 0.168 0.073
Er 0.832 0.832 0.927
Zn 0.523 0.523 0.235
Zn 0.477 0.477 0.765
K 0.145 0.145 0.569
K 0.855 0.855 0.431

Density (g/cm3): 4.32
E_tot (eV/cell): -54.808

---

No. 6
KErZnS3 | PBE | optimized geometry

Cell: 8.317 3.956 9.847 Å, 90.00 108.67 90.00°
Fractional positions:
S 0.788 0.250 0.449
S 0.460 0.750 0.147
S 0.911 0.750 0.157
S 0.540 0.250 0.853
S 0.089 0.250 0.843
S 0.212 0.750 0.551
Zn 0.918 0.750 0.392
Zn 0.082 0.250 0.608
Er 0.680 0.250 0.136
Er 0.320 0.750 0.864
K 0.760 0.750 0.735
K 0.240 0.250 0.265

Density (g/cm3): 3.98
E_tot (eV/cell): -56.445

---

No. 7
KErSc | PBE | optimized geometry

Cell: 5.698 5.698 5.698 Å, 60.00 60.00 60.00°
Fractional positions:
K 0.750 0.750 0.750
Sc 0.000 0.000 0.000
Er 0.250 0.250 0.250

Relative energy among the computed polymorphs (meV per atom): 0.0
Density (g/cm3): 3.19

---

No. 8
KErScSe3 | PBE | optimized geometry

Cell: 7.846 7.846 11.022 Å, 90.00 90.00 148.31°
Fractional positions:
Se 0.125 0.875 0.945
Se 0.565 0.435 0.250
Se 0.435 0.565 0.750
Se 0.875 0.125 0.055
Se 0.125 0.875 0.555
Se 0.875 0.125 0.445
Sc 0.967 0.033 0.250
Sc 0.033 0.967 0.750
Er 0.500 0.500 0.000
Er 0.500 0.500 0.500
K 0.243 0.757 0.250
K 0.757 0.243 0.750

Density (g/cm3): 4.55
E_tot (eV/cell): -63.589

---

No. 9
KErTeSe | PBE | optimized geometry

Cell: 8.361 8.361 8.361 Å, 29.90 29.90 29.90°
Fractional positions:
Te 0.264 0.264 0.264
Se 0.734 0.734 0.734
Er 0.006 0.006 0.006
K 0.496 0.496 0.496

Density (g/cm3): 5.33
E_tot (eV/cell): -18.513

---

No. 10
KErZnSe3 | PBE | optimized geometry

Cell: 8.797 4.110 10.085 Å, 90.00 108.72 90.00°
Fractional positions:
Er 0.676 0.250 0.638
Er 0.324 0.750 0.362
Zn 0.918 0.750 0.892
Zn 0.082 0.250 0.108
K 0.227 0.250 0.756
K 0.773 0.750 0.244
Se 0.540 0.250 0.346
Se 0.460 0.750 0.654
Se 0.785 0.250 0.954
Se 0.094 0.250 0.353
Se 0.906 0.750 0.647
Se 0.215 0.750 0.046

Density (g/cm3): 4.89
E_tot (eV/cell): -51.360

---

No. 11
KErZnSe3 | PBE | optimized geometry

Cell: 9.366 9.366 8.730 Å, 101.97 101.97 25.70°
Fractional positions:
Er 0.830 0.830 0.927
Er 0.170 0.170 0.073
Se 0.336 0.336 0.711
Se 0.664 0.664 0.289
Se 0.672 0.672 0.858
Se 0.000 0.000 0.000
Se 0.500 0.500 0.500
Se 0.328 0.328 0.142
Zn 0.526 0.526 0.232
Zn 0.474 0.474 0.768
K 0.141 0.141 0.569
K 0.859 0.859 0.431

Density (g/cm3): 5.21
E_tot (eV/cell): -49.630

---

No. 12
KErSi | PBE | optimized geometry

Cell: 5.119 5.119 5.119 Å, 60.00 60.00 60.00°
Fractional positions:
Si 0.000 0.000 0.000
K 0.750 0.750 0.750
Er 0.250 0.250 0.250

Relative energy among the computed polymorphs (meV per atom): 0.0
Density (g/cm3): 4.10